Entry 1:
! meta-GGA SCAN Be2WCl, single point on PBEsol structure; values from VASP
! Density (g cm⁻³): 7.8
! ΔE_f (raw) (kJ/mol of atoms): 81
! Total magnetic moment (μB per formula unit): 0.0
&SYSTEM
  ibrav = 0, nat = 4, ntyp = 3
/
ATOMIC_SPECIES
Be 9.01 Be.upf
W 183.84 W.upf
Cl 35.45 Cl.upf
CELL_PARAMETERS angstrom
4.434 0.000 0.000
0.000 2.740 0.000
-2.014 0.000 4.166
ATOMIC_POSITIONS crystal
Be 0.000 0.000 0.000
Be 0.000 0.500 0.500
W 0.500 0.000 0.500
Cl 0.500 0.500 0.000

---

Entry 2:
! meta-GGA SCAN Hf2TlSb, single point on PBEsol structure; values from VASP
! Density (g cm⁻³): 13.2
! ΔE_f (raw) (kJ/mol of atoms): -4
! Total magnetic moment (μB per formula unit): 0.0
&SYSTEM
  ibrav = 0, nat = 4, ntyp = 3
/
ATOMIC_SPECIES
Hf 178.49 Hf.upf
Tl 204.38 Tl.upf
Sb 121.76 Sb.upf
CELL_PARAMETERS angstrom
0.000 3.499 3.499
3.499 0.000 3.499
3.499 3.499 0.000
ATOMIC_POSITIONS crystal
Hf 0.250 0.250 0.250
Hf 0.750 0.750 0.750
Tl 0.000 0.000 0.000
Sb 0.500 0.500 0.500

---

Please write out number 2 again, unchanged.
! meta-GGA SCAN Hf2TlSb, single point on PBEsol structure; values from VASP
! Density (g cm⁻³): 13.2
! ΔE_f (raw) (kJ/mol of atoms): -4
! Total magnetic moment (μB per formula unit): 0.0
&SYSTEM
  ibrav = 0, nat = 4, ntyp = 3
/
ATOMIC_SPECIES
Hf 178.49 Hf.upf
Tl 204.38 Tl.upf
Sb 121.76 Sb.upf
CELL_PARAMETERS angstrom
0.000 3.499 3.499
3.499 0.000 3.499
3.499 3.499 0.000
ATOMIC_POSITIONS crystal
Hf 0.250 0.250 0.250
Hf 0.750 0.750 0.750
Tl 0.000 0.000 0.000
Sb 0.500 0.500 0.500

---

Please write out number 1 again, unchanged.
! meta-GGA SCAN Be2WCl, single point on PBEsol structure; values from VASP
! Density (g cm⁻³): 7.8
! ΔE_f (raw) (kJ/mol of atoms): 81
! Total magnetic moment (μB per formula unit): 0.0
&SYSTEM
  ibrav = 0, nat = 4, ntyp = 3
/
ATOMIC_SPECIES
Be 9.01 Be.upf
W 183.84 W.upf
Cl 35.45 Cl.upf
CELL_PARAMETERS angstrom
4.434 0.000 0.000
0.000 2.740 0.000
-2.014 0.000 4.166
ATOMIC_POSITIONS crystal
Be 0.000 0.000 0.000
Be 0.000 0.500 0.500
W 0.500 0.000 0.500
Cl 0.500 0.500 0.000